(1)
DFT (PBE) results for Nd6Ru2RhI3 after structural relaxation.

Properties
Uncorrected energy in Ry per atom: -0.4162
Raw formation energy in kJ/mol of formula units: -849
Symmetry: No. 12
Crystal system: monoclinic

Cell: 7.2071 7.2071 8.5225 Å, 98.11 98.11 120.00°
Sites, in units of the cell vectors:
Nd  0.0995  0.4380  0.8141
Nd  0.2234  0.2234  0.1858
Nd  0.4380  0.0995  0.8141
Nd  0.5620  0.9005  0.1859
Nd  0.7766  0.7766  0.8142
Nd  0.9005  0.5620  0.1859
Ru  0.1666  0.8334  0.0000
Ru  0.8334  0.1666  0.0000
Rh  0.5000  0.5000  0.0000
I  0.0000  0.0000  0.5000
I  0.3328  0.6672  0.5000
I  0.6672  0.3328  0.5000


(2)
DFT (PBE) results for Tb3Nd2Sm6Pb after structural relaxation.

Properties
Uncorrected energy in Ry per atom: -0.3443
ΔH_f (0 K) in meV per atom: -63.1
Symmetry: No. 12
Crystal system: monoclinic

Cell: 6.1984 6.1984 11.9384 Å, 94.99 94.99 120.06°
Sites, in units of the cell vectors:
Tb  0.0000  0.0000  0.0000
Tb  0.3319  0.6681  0.0000
Tb  0.6681  0.3319  0.0000
Nd  0.1660  0.8340  0.5000
Nd  0.8340  0.1660  0.5000
Sm  0.0911  0.4165  0.2495
Sm  0.2586  0.2586  0.7519
Sm  0.4165  0.0911  0.2495
Sm  0.5835  0.9089  0.7505
Sm  0.7414  0.7414  0.2481
Sm  0.9089  0.5835  0.7505
Pb  0.5000  0.5000  0.5000